1:
9
Lattice="5.327 0.000 0.000 -2.664 4.614 0.000 0.000 0.000 10.737" Properties=species:S:1:pos:R:3 comment="Nd2Dy3Tl4 (GGA-PBE, optimized geometry)" crystal_system=trigonal dos_at_fermi_per_ev_atom=0.87 magmom_total_mub_per_cell=0.0 pbc="T T T"
Nd 0.000 3.076 2.982
Nd 2.664 1.538 7.755
Dy 0.000 0.000 5.368
Dy 0.000 3.076 9.941
Dy 2.664 1.538 0.796
Tl 0.000 0.000 1.613
Tl 0.000 0.000 9.124
Tl 0.000 3.076 6.467
Tl 2.664 1.538 4.270

---

2:
18
Lattice="3.600 -8.323 0.000 3.600 8.323 0.000 0.000 0.000 9.155" Properties=species:S:1:pos:R:3 comment="Nd2Dy3Tl4 (GGA-PBE, optimized geometry)" crystal_system=orthorhombic dos_at_fermi_per_ev_atom=0.83 magmom_total_mub_per_cell=0.0 pbc="T T T"
Nd 3.600 6.503 8.450
Nd 3.600 1.819 3.873
Nd 3.600 -1.819 5.282
Nd 3.600 -6.503 0.705
Dy 0.000 0.000 4.577
Dy 1.800 3.589 6.866
Dy 1.800 -3.589 2.289
Dy 3.600 0.000 0.000
Dy 5.400 3.589 6.866
Dy 5.400 -3.589 2.289
Tl 3.600 5.239 4.958
Tl 1.800 0.528 6.866
Tl 1.800 -0.528 2.289
Tl 3.600 3.083 0.380
Tl 3.600 -3.083 8.774
Tl 5.400 0.528 6.866
Tl 5.400 -0.528 2.289
Tl 3.600 -5.239 4.197

---

Which structure wins on stability? 1 wins.

---

1:
12
Lattice="1.885 -14.598 0.000 1.885 14.598 0.000 0.000 0.000 6.779" Properties=species:S:1:pos:R:3 comment="Nd2DyTl3 (GGA-PBE, optimized geometry)" crystal_system=orthorhombic dos_at_fermi_per_ev_atom=0.80 magmom_total_mub_per_cell=0.0 pbc="T T T"
Nd 1.885 14.431 5.084
Nd 1.885 10.100 1.695
Nd 1.885 -10.100 5.084
Nd 1.885 -14.431 1.695
Dy 1.885 4.898 1.695
Dy 1.885 -4.898 5.084
Tl 1.885 7.188 5.084
Tl 1.885 2.271 3.458
Tl 1.885 2.271 6.710
Tl 1.885 -2.271 0.068
Tl 1.885 -2.271 3.321
Tl 1.885 -7.188 1.695

---

2:
6
Lattice="3.831 0.000 0.000 0.000 3.831 0.000 0.000 0.000 11.842" Properties=species:S:1:pos:R:3 comment="Nd2DyTl3 (GGA-PBE, optimized geometry)" crystal_system=tetragonal dos_at_fermi_per_ev_atom=0.82 magmom_total_mub_per_cell=0.0 pbc="T T T"
Nd 0.000 0.000 2.030
Nd 0.000 0.000 9.812
Dy 0.000 0.000 5.921
Tl 1.916 1.916 0.000
Tl 1.916 1.916 4.068
Tl 1.916 1.916 7.774

---

Which structure wins on stability? 2 wins.